(1)
Entry from OQMD: crystalline Ho2Ni at its relaxed geometry (PBE).

Lattice parameters (Å, degrees): 7.7693 7.7693 3.9065 90.00 90.00 120.00
With the nearest neighbours (Å) after each atom.
Element x y z (fractional)
Ho  0.7501  0.7501  0.0000  4 Ni 2.75-2.97
Ni  0.3333  0.6667  0.0000  9 Ho 2.97-3.05
Ni  0.0000  0.0000  0.5000  6 Ho 2.75
Ho  0.0000  0.2499  0.0000  4 Ni 2.75-2.97
Ho  0.2499  0.0000  0.0000  4 Ni 2.75-2.97
Ho  0.0000  0.5851  0.5000  5 Ni 3.05-3.22, 2 Ho 3.26
Ho  0.4149  0.4149  0.5000  5 Ni 3.05-3.22, 2 Ho 3.26
Ho  0.5851  0.0000  0.5000  5 Ni 3.05-3.22, 2 Ho 3.26
Ni  0.6667  0.3333  0.0000  9 Ho 2.97-3.05

**Total magnetic moment**: 0.498 μB/cell
**Energy**: -0.3748 Ry/atom

***

(2)
Entry from OQMD: crystalline Ho2Ni at its relaxed geometry (PBE).

Lattice parameters (Å, degrees): 5.9458 5.9458 5.9458 60.00 60.00 60.00
With the nearest neighbours (Å) after each atom.
Element x y z (fractional)
Ho  0.6250  0.6250  0.6250  6 Ho 2.97
Ni  0.0000  0.0000  0.0000  12 Ho 3.49, 4 Ni 3.64
Ho  0.6250  0.1250  0.6250  6 Ho 2.97
Ho  0.6250  0.6250  0.1250  6 Ho 2.97
Ni  0.2500  0.2500  0.2500  12 Ho 3.49, 4 Ni 3.64
Ho  0.1250  0.6250  0.6250  6 Ho 2.97

**Total magnetic moment**: 0.189 μB/cell
**Energy**: -0.2969 Ry/atom

***

(3)
Entry from OQMD: crystalline Ho2Ni at its relaxed geometry (PBE).

Lattice parameters (Å, degrees): 8.1496 8.1496 8.1496 60.00 60.00 60.00
With the nearest neighbours (Å) after each atom.
Element x y z (fractional)
Ho  0.3750  0.8750  0.3750  2 Ni 2.50
Ni  0.2500  0.2500  0.2500  4 Ho 2.50
Ho  0.3750  0.3750  0.8750  2 Ni 2.50
Ho  0.3750  0.3750  0.3750  2 Ni 2.50
Ni  0.5000  0.5000  0.5000  4 Ho 2.50
Ho  0.8750  0.3750  0.3750  2 Ni 2.50

**Total magnetic moment**: 0.016 μB/cell
**Energy**: -0.2838 Ry/atom

***

(4)
Entry from OQMD: crystalline Ho2Ni at its relaxed geometry (PBE).

Lattice parameters (Å, degrees): 6.4125 6.4125 3.9313 90.00 90.00 90.00
With the nearest neighbours (Å) after each atom.
Element x y z (fractional)
Ho  0.7990  0.2010  0.5000  3 Ni 2.68-2.71
Ho  0.2010  0.7990  0.5000  3 Ni 2.68-2.71
Ho  0.7010  0.7010  0.0000  3 Ni 2.68-2.71
Ho  0.2990  0.2990  0.0000  3 Ni 2.68-2.71
Ni  0.0000  0.0000  0.0000  6 Ho 2.68-2.71
Ni  0.5000  0.5000  0.5000  6 Ho 2.68-2.71

**Total magnetic moment**: 0.001 μB/cell
**Energy**: -0.3742 Ry/atom

***

(5)
Entry from OQMD: crystalline Ho3Ni at its relaxed geometry (PBE).

Lattice parameters (Å, degrees): 6.0318 6.0318 6.0318 137.92 137.92 61.03
With the nearest neighbours (Å) after each atom.
Element x y z (fractional)
Ho  0.5000  0.5000  0.0000  4 Ni 3.06, 8 Ho 3.38
Ho  0.7500  0.2500  0.5000  8 Ho 3.06-3.38, 4 Ni 3.38
Ni  0.0000  0.0000  0.0000  12 Ho 3.06-3.38
Ho  0.2500  0.7500  0.5000  8 Ho 3.06-3.38, 4 Ni 3.38

**Total magnetic moment**: 0.010 μB/cell
**Energy**: -0.3447 Ry/atom

***

(6)
Entry from OQMD: crystalline Ho3Ni at its relaxed geometry (PBE).

Lattice parameters (Å, degrees): 4.6099 4.6099 4.6099 90.00 90.00 90.00
With the nearest neighbours (Å) after each atom.
Element x y z (fractional)
Ho  0.0000  0.5000  0.5000  8 Ho 3.26, 4 Ni 3.26
Ni  0.0000  0.0000  0.0000  12 Ho 3.26
Ho  0.5000  0.5000  0.0000  8 Ho 3.26, 4 Ni 3.26
Ho  0.5000  0.0000  0.5000  8 Ho 3.26, 4 Ni 3.26

**Total magnetic moment**: 0.027 μB/cell
**Energy**: -0.3462 Ry/atom

***

(7)
Entry from OQMD: crystalline Ho3Ni at its relaxed geometry (PBE).

Lattice parameters (Å, degrees): 5.1700 5.1700 5.1700 60.00 60.00 60.00
With the nearest neighbours (Å) after each atom.
Element x y z (fractional)
Ho  0.0000  0.0000  0.0000  4 Ni 3.17, 4 Ho 3.17
Ho  0.2500  0.2500  0.2500  8 Ho 3.17
Ni  0.7500  0.7500  0.7500  8 Ho 3.17
Ho  0.5000  0.5000  0.5000  4 Ho 3.17, 4 Ni 3.17

**Total magnetic moment**: 0.005 μB/cell
**Energy**: -0.3414 Ry/atom

***

(8)
Entry from OQMD: crystalline Ho2Ni3 at its relaxed geometry (PBE).

Lattice parameters (Å, degrees): 6.4068 6.4068 6.6290 118.90 61.10 120.00
With the nearest neighbours (Å) after each atom.
Element x y z (fractional)
Ho  0.1047  0.8953  0.6858  6 Ni 2.63-2.76
Ho  0.6047  0.3953  0.1858  6 Ni 2.63-2.76
Ni  0.5369  0.2500  0.7500  2 Ni 2.37, 2 Ho 2.63
Ho  0.8953  0.1047  0.3142  6 Ni 2.63-2.76
Ho  0.3953  0.6047  0.8142  6 Ni 2.63-2.76
Ni  0.9631  0.4631  0.7500  2 Ni 2.37, 2 Ho 2.63
Ni  0.7500  0.0369  0.7500  2 Ni 2.37, 2 Ho 2.63
Ni  0.2500  0.9631  0.2500  2 Ni 2.37, 2 Ho 2.63
Ni  0.4631  0.7500  0.2500  2 Ni 2.37, 2 Ho 2.63
Ni  0.0369  0.5369  0.2500  2 Ni 2.37, 2 Ho 2.63

**Total magnetic moment**: 0.002 μB/cell
**Energy**: -0.3760 Ry/atom

***

(9)
Entry from OQMD: crystalline HoSi2NiOs at its relaxed geometry (PBE).

Lattice parameters (Å, degrees): 5.7326 5.7326 5.7326 139.53 139.53 58.56
With the nearest neighbours (Å) after each atom.
Element x y z (fractional)
Si  0.3784  0.3784  0.0000  2 Os 2.36, 2 Ni 2.36, 1 Si 2.43
Ho  0.0000  0.0000  0.0000  8 Si 3.06, 4 Os 3.19, 4 Ni 3.19
Si  0.6216  0.6216  0.0000  2 Os 2.36, 2 Ni 2.36, 1 Si 2.43
Ni  0.2500  0.7500  0.5000  4 Si 2.36
Os  0.7500  0.2500  0.5000  4 Si 2.36

**Total magnetic moment**: 0.001 μB/cell
**Energy**: -0.5309 Ry/atom

***

(10)
Entry from OQMD: crystalline Ho3Ni4P4 at its relaxed geometry (PBE).

Lattice parameters (Å, degrees): 3.8522 3.8529 11.6990 80.54 80.53 89.99
With the nearest neighbours (Å) after each atom.
Element x y z (fractional)
P  0.5511  0.5517  0.8974  2 Ni 2.17, 1 P 2.34
Ho  0.6491  0.1493  0.7017  6 P 2.90-2.94, 8 Ni 2.99-3.01
Ni  0.2509  0.2504  0.4989  4 P 2.31-2.32
Ni  0.9049  0.4047  0.1907  3 P 2.17-2.23
Ho  0.3509  0.8507  0.2983  6 P 2.90-2.94, 8 Ni 2.99-3.01
P  0.8068  0.3065  0.3868  5 Ni 2.23-2.32
Ni  0.0951  0.5953  0.8093  3 P 2.17-2.23
P  0.4489  0.4483  0.1026  2 Ni 2.17, 1 P 2.34
Ni  0.7491  0.7496  0.5011  4 P 2.31-2.32
P  0.1932  0.6935  0.6132  5 Ni 2.23-2.32
Ho  0.0000  0.0000  0.0000  4 Ni 2.90, 8 P 2.96-2.97

**Total magnetic moment**: 0.001 μB/cell
**Energy**: -0.4694 Ry/atom

***

(11)
Entry from OQMD: crystalline Ho5Ni19P12 at its relaxed geometry (PBE).

Lattice parameters (Å, degrees): 12.0500 12.0500 3.7248 90.00 90.00 120.00
With the nearest neighbours (Å) after each atom.
Element x y z (fractional)
Ni  0.3602  0.4853  0.5000  4 P 2.22-2.37
Ni  0.1252  0.6398  0.5000  4 P 2.23-2.37
P  0.8219  0.8219  0.0000  5 Ni 2.15-2.32
P  0.5206  0.6871  0.5000  5 Ni 2.20-2.30
P  0.0000  0.6326  0.0000  7 Ni 2.24-2.37
Ni  0.8748  0.5147  0.5000  4 P 2.23-2.37
Ni  0.3799  0.1824  0.0000  4 P 2.27-2.32
Ni  0.1975  0.8176  0.0000  4 P 2.27-2.32
P  0.4794  0.1665  0.5000  5 Ni 2.20-2.30
P  0.1781  0.0000  0.0000  5 Ni 2.15-2.32
Ho  0.0000  0.8120  0.5000  6 P 2.85-2.89, 10 Ni 2.93-3.12
Ni  0.8176  0.1975  0.0000  4 P 2.27-2.32
P  0.1665  0.4794  0.5000  5 Ni 2.20-2.30
Ni  0.7158  0.7158  0.5000  4 P 2.20-2.26
P  0.3674  0.3674  0.0000  7 Ni 2.24-2.37
P  0.0000  0.1781  0.0000  5 Ni 2.15-2.32
Ho  0.3333  0.6667  0.0000  6 P 2.84, 9 Ni 2.99-3.01
Ni  0.1824  0.3799  0.0000  4 P 2.27-2.32
Ni  0.6201  0.8025  0.0000  4 P 2.27-2.32
Ni  0.0000  0.4471  0.0000  1 P 2.24
Ni  0.8025  0.6201  0.0000  4 P 2.27-2.32
Ni  0.4853  0.3602  0.5000  4 P 2.22-2.37
Ho  0.8120  0.0000  0.5000  6 P 2.85-2.89, 10 Ni 2.93-3.12
P  0.3128  0.8335  0.5000  5 Ni 2.20-2.30
Ni  0.5529  0.5529  0.0000  1 P 2.24
Ni  0.0000  0.0000  0.0000  3 P 2.15
Ni  0.5147  0.8748  0.5000  4 P 2.23-2.37
Ni  0.0000  0.2842  0.5000  4 P 2.20-2.26
Ho  0.6667  0.3333  0.0000  6 P 2.84, 9 Ni 2.99-3.01
Ni  0.2842  0.0000  0.5000  4 P 2.20-2.26
P  0.8335  0.3128  0.5000  5 Ni 2.20-2.30
Ho  0.1880  0.1880  0.5000  6 P 2.85-2.89, 10 Ni 2.93-3.12
P  0.6871  0.5206  0.5000  5 Ni 2.20-2.30
Ni  0.4471  0.0000  0.0000  1 P 2.24
P  0.6326  0.0000  0.0000  7 Ni 2.24-2.37
Ni  0.6398  0.1252  0.5000  4 P 2.23-2.37

**Total magnetic moment**: 0.007 μB/cell
**Energy**: -0.4602 Ry/atom

***

(12)
Entry from OQMD: crystalline PrHoNi2P2 at its relaxed geometry (PBE).

Lattice parameters (Å, degrees): 3.9313 3.9313 7.8770 90.00 90.00 120.00
With the nearest neighbours (Å) after each atom.
Element x y z (fractional)
P  0.6667  0.3333  0.2363  3 Ni 2.27
Ni  0.6667  0.3333  0.7593  3 P 2.27
Ho  0.0000  0.0000  0.0000  6 P 2.94, 6 Ni 2.96
Pr  0.0000  0.0000  0.5000  6 Ni 3.05, 6 P 3.08
Ni  0.3333  0.6667  0.2407  3 P 2.27
P  0.3333  0.6667  0.7637  3 Ni 2.27

**Total magnetic moment**: 0.002 μB/cell
**Energy**: -0.4706 Ry/atom